Material: DyYHo5Sc2
Method: DFT, PBE
State: optimized geometry

Cell: 5.562 21.354 9.284 Å, 90.00 90.00 90.00°
Space group Cmc2_1 (No. 36)
Unique sites:
Dy1 0.000 0.186 0.000 (multiplicity 4)
Y1 0.000 0.402 0.402 (multiplicity 4)
Ho1 0.000 0.010 0.999 (multiplicity 4)
Ho2 0.000 0.265 0.317 (multiplicity 4)
Ho3 0.000 0.307 0.702 (multiplicity 4)
Ho4 0.000 0.392 0.028 (multiplicity 4)
Ho5 0.000 0.468 0.731 (multiplicity 4)
Sc1 0.000 0.113 0.306 (multiplicity 4)
Sc2 0.000 0.139 0.680 (multiplicity 4)

Calculated values
ΔE_f = 172 meV/atom